No. 1
This record from Alexandria describes crystalline CeSmEuTl at its relaxed geometry. The functional is PBE.

Total DFT energy (no corrections) = -93.496 eV for the cell shown
Total magnetic moment = 36.63 Bohr magnetons per cell
Calculated volume = 30.8 A^3/atom
Formation enthalpy at 0 K = -0.020 eV/atom

abc: 7.896 7.896 7.896
angles: 90.00 90.00 90.00
Space group F-43m (No. 216)
Inequivalent atoms, fractional coordinates:
Ce  0.000  0.000  0.000 [4 per cell]
Sm  0.000  0.000  0.500 [4 per cell]
Eu  0.250  0.250  0.750 [4 per cell]
Tl  0.250  0.250  0.250 [4 per cell]

No. 2
This record from Alexandria describes crystalline ReAgTeO2 at its relaxed geometry. The functional is PBE.

Total DFT energy (no corrections) = -31.942 eV for the cell shown
Formation energy (no corrections) = -0.717 eV/atom
Total magnetic moment = 0.00 Bohr magnetons per cell
Calculated volume = 17.6 A^3/atom

abc: 3.859 3.859 5.897
angles: 90.00 90.00 90.00
Space group P4/mmm (No. 123)
Inequivalent atoms, fractional coordinates:
Re  0.000  0.000  0.000 [1 per cell]
Ag  0.500  0.500  0.500 [1 per cell]
Te  0.000  0.000  0.500 [1 per cell]
O  0.000  0.500  0.000 [2 per cell]

No. 3
This record from Alexandria describes crystalline ErTm3S4 at its relaxed geometry. The functional is PBE.

Total DFT energy (no corrections) = -49.871 eV for the cell shown
Formation energy (no corrections) = -1.923 eV/atom
Energy above the lowest structure with this stoichiometry = 10 meV per atom
Total magnetic moment = 0.00 Bohr magnetons per cell
Calculated volume = 20.1 A^3/atom

abc: 5.441 5.441 5.441
angles: 90.00 90.00 90.00
Space group Pm-3m (No. 221)
Inequivalent atoms, fractional coordinates:
Er  0.000  0.000  0.000 [1 per cell]
Tm  0.000  0.500  0.500 [3 per cell]
S  0.000  0.000  0.500 [3 per cell]
S  0.500  0.500  0.500 [1 per cell]

No. 4
This record from Alexandria describes crystalline SnIr2Pt2 at its relaxed geometry. The functional is PBE.

Total DFT energy (no corrections) = -66.412 eV for the cell shown
Total magnetic moment = 0.00 Bohr magnetons per cell
Calculated volume = 17.3 A^3/atom
Formation enthalpy at 0 K = 0.120 eV/atom

abc: 6.841 6.841 3.697
angles: 90.00 90.00 90.00
Space group P4/mbm (No. 127)
Inequivalent atoms, fractional coordinates:
Sn  0.000  0.000  0.000 [2 per cell]
Ir  0.132  0.368  0.000 [4 per cell]
Pt  0.161  0.661  0.500 [4 per cell]

No. 5
This record from Alexandria describes crystalline Sc4Pt at its relaxed geometry. The functional is PBE.

Total DFT energy (no corrections) = -62.175 eV for the cell shown
Energy above the lowest structure with this stoichiometry = 581 meV per atom
Total magnetic moment = 0.00 Bohr magnetons per cell
Calculated volume = 22.9 A^3/atom
Formation enthalpy at 0 K = 0.056 eV/atom

abc: 3.670 3.670 17.032
angles: 90.00 90.00 90.00
Space group I4/mmm (No. 139)
Inequivalent atoms, fractional coordinates:
Sc  0.000  0.000  0.084 [4 per cell]
Sc  0.000  0.500  0.250 [4 per cell]
Pt  0.000  0.000  0.500 [2 per cell]

No. 6
This record from Alexandria describes crystalline LaPrThHg at its relaxed geometry. The functional is PBE.

Total DFT energy (no corrections) = -69.368 eV for the cell shown
Total magnetic moment = 1.17 Bohr magnetons per cell
Calculated volume = 31.1 A^3/atom
Formation enthalpy at 0 K = 0.022 eV/atom

abc: 7.928 7.928 7.928
angles: 90.00 90.00 90.00
Space group F-43m (No. 216)
Inequivalent atoms, fractional coordinates:
La  0.000  0.000  0.000 [4 per cell]
Pr  0.000  0.000  0.500 [4 per cell]
Th  0.250  0.250  0.750 [4 per cell]
Hg  0.250  0.250  0.250 [4 per cell]